# NaLa3Ru

A relaxed structure of NaLa3Ru (GGA-PBE, Alexandria).

extended XYZ file:
```
10
Lattice="6.247 0.000 3.597 0.000 9.141 0.000 1.743 0.000 6.971" Properties=species:S:1:pos:R:3 pbc="T T T"
Ru 3.352 2.285 2.104
Ru 4.637 6.856 8.464
Na 5.377 2.285 4.748
Na 2.612 6.856 5.820
La 4.133 4.991 3.153
La 3.856 4.150 7.415
La 4.133 8.721 3.153
La 3.856 0.420 7.415
La 1.340 2.285 4.107
La 6.650 6.856 6.461
```

Computed properties:
For the energy relative to the lowest polymorph listed for this composition, the calculation gives 93 meV/atom. The value obtained for the formation energy is -64 meV per atom. As for the total magnetic moment: 0.00 μB per formula unit. Its density is 5.27 Mg/m³.

---

# NaLa3Ru

A relaxed structure of NaLa3Ru (GGA-PBE, Alexandria).

extended XYZ file:
```
20
Lattice="-13.681 -1.891 -24.700 4.863 -4.699 -2.334 3.215 -1.876 10.475" Properties=species:S:1:pos:R:3 pbc="T T T"
Ru -1.454 -5.778 -7.727
Ru -4.149 -2.687 -8.832
Ru -9.433 -4.521 -15.920
Ru 3.830 -3.944 -0.639
Na 2.135 -1.570 3.977
Na -7.738 -6.896 -20.536
Na -3.325 -4.219 -13.029
Na -2.277 -4.246 -3.529
La 3.465 -6.632 0.526
La -9.067 -1.833 -17.085
La 0.978 -3.368 -0.264
La -6.580 -5.097 -16.295
La -1.872 -3.144 -7.016
La -3.731 -5.321 -9.542
La 3.260 -5.137 -3.274
La -8.863 -3.328 -13.285
La 0.568 -5.976 -6.170
La -6.170 -2.489 -10.389
La 3.581 -3.741 6.573
La -9.183 -4.724 -23.132
```

Computed properties:
For the energy relative to the lowest polymorph listed for this composition, the calculation gives 72 meV/atom. The value obtained for the formation energy is -85 meV per atom. As for the total magnetic moment: 0.00 μB per formula unit. Its density is 5.16 Mg/m³.

---

# NaLa3Ru

A relaxed structure of NaLa3Ru (GGA-PBE, Alexandria).

extended XYZ file:
```
10
Lattice="-2.457 3.007 4.035 4.623 -7.305 8.260 2.711 4.267 2.257" Properties=species:S:1:pos:R:3 pbc="T T T"
Ru 1.171 -0.604 3.138
Ru 3.705 0.573 11.414
Na 1.335 4.247 7.336
Na 3.541 -4.278 7.216
La 0.210 0.931 1.383
La 4.666 -0.963 13.168
La 2.160 -2.150 4.867
La 2.716 2.118 9.685
La 1.268 1.816 5.224
La 3.608 -1.847 9.328
```

Computed properties:
For the energy relative to the lowest polymorph listed for this composition, the calculation gives 359 meV/atom. The value obtained for the formation energy is 202 meV per atom. As for the total magnetic moment: 0.00 μB per formula unit. Its density is 5.57 Mg/m³.

---

# NaLa3Ru

A relaxed structure of NaLa3Ru (GGA-PBE, Alexandria).

extended XYZ file:
```
20
Lattice="0.000 7.527 7.527 7.527 0.000 7.527 7.527 7.527 0.000" Properties=species:S:1:pos:R:3 pbc="T T T"
Ru 9.409 9.409 9.409
Ru 5.646 9.409 5.646
Ru 9.409 5.646 5.646
Ru 5.646 5.646 9.409
Na 1.882 1.882 1.882
Na 5.646 1.882 5.646
Na 1.882 5.646 5.646
Na 5.646 5.646 1.882
La 4.695 7.527 7.527
La 8.458 11.291 11.291
La 11.291 11.291 8.458
La 14.124 11.291 11.291
La 11.291 14.124 11.291
La 7.527 10.360 7.527
La 11.291 8.458 11.291
La 11.291 11.291 14.124
La 7.527 4.695 7.527
La 10.360 7.527 7.527
La 7.527 7.527 4.695
La 7.527 7.527 10.360
```

Computed properties:
For the energy relative to the lowest polymorph listed for this composition, the calculation gives 201 meV/atom. The value obtained for the formation energy is 44 meV per atom. As for the total magnetic moment: 0.00 μB per formula unit. Its density is 4.21 Mg/m³.